Ca2AlGe: optimized geometry, PBE.

Lattice parameters (Å, degrees): 4.178 4.513 6.062 111.86 90.00 90.00
Positions (direct):
1 Ca 0.000 0.986 0.971
2 Ca 0.500 0.269 0.539
3 Ge 0.500 0.553 0.107
4 Al 0.000 0.691 0.382

Output
Energy of formation   -499 meV/atom
VASP energy   -3.59 eV/atom
Total magnetic moment   0.00 μB/atom
Calculated volume   26.5 Å³ per atom

---

MgRh4: optimized geometry, PBE.

Lattice parameters (Å, degrees): 4.747 4.747 4.747 99.58 99.58 131.86
Positions (direct):
1 Rh 0.399 0.194 0.593
2 Rh 0.806 0.399 0.205
3 Rh 0.601 0.806 0.407
4 Rh 0.194 0.601 0.795
5 Mg 0.000 0.000 0.000

Output
Energy of formation   -178 meV/atom
ΔE to the lowest computed polymorph   0.000 eV per atom
VASP energy   -6.38 eV/atom
Total magnetic moment   0.00 μB/atom
Calculated volume   14.5 Å³ per atom

---

The highest VASP energy belongs to which entry? Ca2AlGe